No. 1
CoC4, single point on PBEsol structure, DFT meta-GGA SCAN; size of the total moment = 0.33 μB/atom; energy above the most stable polymorph in this dataset = 1699.8 meV per atom; DFT formation energy = 2.39 eV per atom; density = 5.53 g/cm³; raw total energy = -9.16 eV per atom
1.0
3.417 0.000 0.000
-1.709 3.236 -0.003
0.000 -1.801 2.904
C Co
4 1
direct
0.750 0.500 0.250
0.640 0.280 0.640
0.250 0.500 0.750
0.360 0.720 0.360
0.000 0.000 0.000



No. 2
Cs3BeIn, single point on PBEsol structure, DFT meta-GGA SCAN; size of the total moment = 0.07 μB/atom; DFT formation energy = 0.66 eV per atom; density = 2.88 g/cm³; raw total energy = -29.57 eV per atom
1.0
-5.229 2.054 3.660
2.232 -3.591 5.203
3.554 5.276 2.117
Cs In Be
3 1 1
direct
0.000 0.500 0.000
0.000 0.000 0.500
0.500 0.000 0.000
0.500 0.500 0.500
0.000 0.000 0.000